[1]
DFT (GGA-PBE) results for a relaxed YSnBr6 crystal.

abc: 7.0387 7.0394 7.5487
angles: 62.20 62.20 60.00
Sites, in units of the cell vectors:
Br  0.7490  0.0869  0.7502
Sn  0.0000  0.0000  0.0000
Y  0.5000  0.5000  0.5000
Br  0.0869  0.4140  0.7501
Br  0.9131  0.5860  0.2499
Br  0.4140  0.7490  0.7501
Br  0.2510  0.9131  0.2498
Br  0.5860  0.2510  0.2499

## Properties
mass density	4.2	Mg/m³
DOS(E_F)	5.112	states/eV/cell
total moment	0.00	μB/atom

[2]
DFT (GGA-PBE) results for a relaxed YSn2Br8 crystal.

abc: 7.7987 7.9494 7.9494
angles: 70.85 74.51 74.51
Sites, in units of the cell vectors:
Sn  0.8124  0.6532  0.6532
Br  0.7522  0.8828  0.8828
Br  0.7639  0.3429  0.9618
Br  0.2478  0.1172  0.1172
Br  0.8258  0.4187  0.4187
Br  0.2361  0.0382  0.6571
Br  0.1742  0.5813  0.5813
Br  0.7639  0.9618  0.3429
Y  0.0000  0.0000  0.0000
Sn  0.1876  0.3468  0.3468
Br  0.2361  0.6571  0.0382

## Properties
mass density	3.6	Mg/m³
DOS(E_F)	5.149	states/eV/cell
total moment	0.00	μB/atom
distance to the lowest polymorph of the same formula	0.000	eV per atom

[3]
DFT (GGA-PBE) results for a relaxed YSnBr crystal.

abc: 3.7350 8.4384 5.8945
angles: 69.58 90.01 77.22
Sites, in units of the cell vectors:
Sn  0.0001  0.0006  0.7533
Y  0.6397  0.7206  0.6401
Br  0.2866  0.4268  0.7866
Sn  0.9999  0.9994  0.2467
Y  0.3603  0.2794  0.3599
Br  0.7134  0.5732  0.2134

## Properties
mass density	5.6	Mg/m³
DOS(E_F)	3.033	states/eV/cell
total moment	0.00	μB/atom

Which formation energy without anion corrections belongs to each record? In order, -1.176, -1.052, -1.010 eV/atom.